{
  "formula": "CsNdTeO",
  "functional": "PBE-GGA",
  "state": "relaxed",
  "cell": [[5.643, -3.234, 5.491], [7.031, 0.496, 4.772], [4.075, -0.076, 7.472]],
  "species": ["Cs", "Nd", "O", "Te"],
  "fractional_positions": [[0.509, 0.509, 0.509], [0.981, 0.981, 0.981], [0.278, 0.278, 0.278], [0.732, 0.732, 0.732]],
  "magmom_total_mub_per_cell": 0.0,
  "relative_energy_mev_per_atom": 238.5,
  "space_group": "R3m"
}